No. 1
# BaCd2As

An optimized crystal structure of BaCd2As (PBE-GGA, Alexandria via LeMat-Bulk).

Geometry as extended XYZ:
```
4
Lattice="2.421 1.398 6.069 -2.421 1.398 6.069 0.000 -2.796 6.069" Properties=species:S:1:pos:R:3 pbc="T T T"
Ba 0.000 0.000 0.000
Cd 0.000 0.000 3.964
Cd 0.000 0.000 14.243
As 0.000 0.000 9.103
```

Symmetry: R-3m (166)
Density in kg/m³: 5889
Volume in Å³ per atom: 30.81
Total DFT energy (no corrections) in eV/atom: -2.3906
Fermi-level density of states in states/eV/cell: 2.74
DFT formation energy in eV per atom: -0.290

=====

No. 2
# Ba4Cd2As

An optimized crystal structure of Ba4Cd2As (PBE-GGA, Alexandria via LeMat-Bulk).

Geometry as extended XYZ:
```
7
Lattice="-3.230 3.230 8.398 3.230 -3.230 8.398 3.230 3.230 -8.398" Properties=species:S:1:pos:R:3 pbc="T T T"
Ba 3.230 0.000 0.000
Ba 0.000 0.000 3.165
Ba 0.000 3.230 0.000
Ba 0.000 0.000 13.631
Cd 0.000 0.000 6.732
Cd 0.000 0.000 10.064
As 0.000 0.000 0.000
```

Symmetry: I4/mmm (139)
Density in kg/m³: 4023
Volume in Å³ per atom: 50.07
Total DFT energy (no corrections) in eV/atom: -2.4077
Fermi-level density of states in states/eV/cell: 10.74
DFT formation energy in eV per atom: -0.383

=====

No. 3
# BaCdAs2

An optimized crystal structure of BaCdAs2 (PBE-GGA, Alexandria via LeMat-Bulk).

Geometry as extended XYZ:
```
4
Lattice="3.850 0.000 0.000 0.000 3.850 0.000 0.000 0.000 7.485" Properties=species:S:1:pos:R:3 pbc="T T T"
Ba 0.000 0.000 0.000
Cd 1.925 1.925 2.410
As 0.000 0.000 4.326
As 1.925 1.925 5.166
```

Symmetry: P4mm (99)
Density in kg/m³: 5981
Volume in Å³ per atom: 27.73
Total DFT energy (no corrections) in eV/atom: -3.2975
Fermi-level density of states in states/eV/cell: 0.85
DFT formation energy in eV per atom: -0.263

=====

No. 4
# BaCd2As

An optimized crystal structure of BaCd2As (PBE-GGA, Alexandria via LeMat-Bulk).

Geometry as extended XYZ:
```
4
Lattice="4.338 0.000 0.000 0.000 4.338 0.000 0.000 0.000 6.430" Properties=species:S:1:pos:R:3 pbc="T T T"
Ba 0.000 0.000 0.000
Cd 0.000 2.169 3.199
Cd 2.169 0.000 3.199
As 2.169 2.169 5.176
```

Symmetry: P4mm (99)
Density in kg/m³: 5998
Volume in Å³ per atom: 30.25
Total DFT energy (no corrections) in eV/atom: -2.5398
Fermi-level density of states in states/eV/cell: 2.12
DFT formation energy in eV per atom: -0.439

=====

No. 5
# BaCdAs3

An optimized crystal structure of BaCdAs3 (PBE-GGA, Alexandria via LeMat-Bulk).

Geometry as extended XYZ:
```
5
Lattice="5.867 0.000 0.000 0.000 5.867 0.000 0.000 0.000 5.867" Properties=species:S:1:pos:R:3 pbc="T T T"
Ba 0.000 0.000 0.000
Cd 2.933 2.933 2.933
As 0.000 0.000 2.933
As 0.000 2.933 0.000
As 2.933 0.000 0.000
```

Symmetry: Pm-3m (221)
Energy above the lowest structure with this stoichiometry in eV per atom: 1.043
Density in kg/m³: 3902
Volume in Å³ per atom: 40.39
Total DFT energy (no corrections) in eV/atom: -2.3036
Fermi-level density of states in states/eV/cell: 4.14
DFT formation energy in eV per atom: 1.054

=====

No. 6
# BaCdAs

An optimized crystal structure of BaCdAs (PBE-GGA, Alexandria via LeMat-Bulk).

Geometry as extended XYZ:
```
3
Lattice="4.736 0.000 0.000 -2.368 4.101 0.000 0.000 0.000 4.837" Properties=species:S:1:pos:R:3 pbc="T T T"
Ba 0.000 0.000 0.000
Cd 2.368 1.367 2.382
As 0.000 2.734 2.469
```

Symmetry: P3m1 (156)
Energy above the lowest structure with this stoichiometry in eV per atom: 0.000
Density in kg/m³: 5739
Volume in Å³ per atom: 31.31
Total DFT energy (no corrections) in eV/atom: -3.1347
Fermi-level density of states in states/eV/cell: 3.01
DFT formation energy in eV per atom: -0.639

=====

No. 7
# Ba2Cd2As3

An optimized crystal structure of Ba2Cd2As3 (PBE-GGA, Alexandria via LeMat-Bulk).

Geometry as extended XYZ:
```
14
Lattice="8.707 -2.312 0.000 8.707 2.312 0.000 -7.743 0.000 10.386" Properties=species:S:1:pos:R:3 pbc="T T T"
Ba -1.633 0.000 4.683
Ba -2.417 0.000 8.647
Ba 12.089 0.000 1.739
Ba 11.305 0.000 5.702
Cd 0.385 0.000 1.582
Cd 6.551 0.000 1.925
Cd 3.121 0.000 8.461
Cd 9.287 0.000 8.804
As -5.426 0.000 9.986
As 0.627 0.000 7.265
As 4.476 0.000 3.982
As 5.195 0.000 6.404
As 9.044 0.000 3.121
As 15.098 0.000 0.400
```

Symmetry: C2/m (12)
Density in kg/m³: 5753
Volume in Å³ per atom: 29.86
Total DFT energy (no corrections) in eV/atom: -3.5791
Fermi-level density of states in states/eV/cell: 0.80
DFT formation energy in eV per atom: -0.776

=====

No. 8
# Ba3CdAs3

An optimized crystal structure of Ba3CdAs3 (PBE-GGA, Alexandria via LeMat-Bulk).

Geometry as extended XYZ:
```
28
Lattice="10.278 -3.505 0.000 10.278 3.505 0.000 0.000 0.000 13.674" Properties=species:S:1:pos:R:3 pbc="T T T"
Ba 6.685 2.111 1.792
Ba 6.685 1.394 8.629
Ba 10.278 2.192 11.661
Ba 10.278 1.314 4.824
Ba 13.871 2.111 1.792
Ba 13.871 1.394 8.629
Ba 6.685 -1.394 5.046
Ba 6.685 -2.111 11.883
Ba 10.278 -1.314 8.850
Ba 10.278 -2.192 2.013
Ba 13.871 -1.394 5.046
Ba 13.871 -2.111 11.883
Cd 1.730 0.000 6.837
Cd 8.548 0.000 0.000
Cd 12.008 0.000 0.000
Cd 18.826 0.000 6.837
As 6.959 2.014 5.185
As 6.959 1.491 12.023
As 10.278 1.958 8.310
As 10.278 1.547 1.473
As 13.598 2.014 5.185
As 13.598 1.491 12.023
As 6.959 -1.491 1.652
As 6.959 -2.014 8.489
As 10.278 -1.547 12.201
As 10.278 -1.958 5.364
As 13.598 -1.491 1.652
As 13.598 -2.014 8.489
```

Symmetry: Cmce (64)
Density in kg/m³: 5050
Volume in Å³ per atom: 35.19
Total DFT energy (no corrections) in eV/atom: -3.8297
Fermi-level density of states in states/eV/cell: 26.82
DFT formation energy in eV per atom: -0.882

=====

No. 9
# Ba2Cd2As

An optimized crystal structure of Ba2Cd2As (PBE-GGA, Alexandria via LeMat-Bulk).

Geometry as extended XYZ:
```
5
Lattice="-2.077 2.077 10.199 2.077 -2.077 10.199 2.077 2.077 -10.199" Properties=species:S:1:pos:R:3 pbc="T T T"
Ba 0.000 0.000 1.733
Ba 0.000 0.000 18.666
Cd 2.077 0.000 5.100
Cd 0.000 2.077 5.100
As 0.000 0.000 10.199
```

Symmetry: I4/mmm (139)
Energy above the lowest structure with this stoichiometry in eV per atom: 0.000
Density in kg/m³: 5418
Volume in Å³ per atom: 35.21
Total DFT energy (no corrections) in eV/atom: -2.5938
Fermi-level density of states in states/eV/cell: 2.30
DFT formation energy in eV per atom: -0.529

=====

No. 10
# BaCdAs4

An optimized crystal structure of BaCdAs4 (PBE-GGA, Alexandria via LeMat-Bulk).

Geometry as extended XYZ:
```
6
Lattice="0.000 4.241 4.241 4.241 0.000 4.241 4.241 4.241 0.000" Properties=species:S:1:pos:R:3 pbc="T T T"
Ba 0.000 0.000 0.000
Cd 6.361 6.361 6.361
As 3.295 3.295 3.295
As 5.186 5.186 3.295
As 5.186 3.295 5.186
As 3.295 5.186 5.186
```

Symmetry: F-43m (216)
Density in kg/m³: 5982
Volume in Å³ per atom: 25.42
Total DFT energy (no corrections) in eV/atom: -3.7637
Fermi-level density of states in states/eV/cell: 3.79
DFT formation energy in eV per atom: -0.191

=====

No. 11
# Ba2CdAs

An optimized crystal structure of Ba2CdAs (PBE-GGA, Alexandria via LeMat-Bulk).

Geometry as extended XYZ:
```
4
Lattice="2.429 1.402 8.364 -2.429 1.402 8.364 0.000 -2.805 8.364" Properties=species:S:1:pos:R:3 pbc="T T T"
Ba 0.000 0.000 0.000
Ba 0.000 0.000 4.952
Cd 0.000 0.000 19.134
As 0.000 0.000 15.081
```

Symmetry: R3m (160)
Energy above the lowest structure with this stoichiometry in eV per atom: 0.007
Density in kg/m³: 4487
Volume in Å³ per atom: 42.74
Total DFT energy (no corrections) in eV/atom: -3.0389
Fermi-level density of states in states/eV/cell: 2.34
DFT formation energy in eV per atom: -0.686

=====

No. 12
# BaCdAs

An optimized crystal structure of BaCdAs (PBE-GGA, Alexandria via LeMat-Bulk).

Geometry as extended XYZ:
```
6
Lattice="4.722 0.000 0.000 -2.361 4.090 0.000 0.000 0.000 9.676" Properties=species:S:1:pos:R:3 pbc="T T T"
Ba 0.000 0.000 0.000
Ba 0.000 0.000 4.838
Cd 0.000 2.726 2.419
Cd 2.361 1.363 7.257
As 0.000 2.726 7.257
As 2.361 1.363 2.419
```

Symmetry: P6_3/mmc (194)
Energy above the lowest structure with this stoichiometry in eV per atom: 0.008
Density in kg/m³: 5770
Volume in Å³ per atom: 31.14
Total DFT energy (no corrections) in eV/atom: -3.1264
Fermi-level density of states in states/eV/cell: 5.41
DFT formation energy in eV per atom: -0.631

=====

No. 13
# BaCdAs

An optimized crystal structure of BaCdAs (PBE-GGA, Alexandria via LeMat-Bulk).

Geometry as extended XYZ:
```
3
Lattice="0.000 3.755 3.755 3.755 0.000 3.755 3.755 3.755 0.000" Properties=species:S:1:pos:R:3 pbc="T T T"
Ba 0.000 0.000 0.000
Cd 3.755 3.755 3.755
As 1.878 1.878 1.878
```

Symmetry: F-43m (216)
Energy above the lowest structure with this stoichiometry in eV per atom: 0.126
Density in kg/m³: 5089
Volume in Å³ per atom: 35.31
Total DFT energy (no corrections) in eV/atom: -3.0089
Fermi-level density of states in states/eV/cell: 1.28
DFT formation energy in eV per atom: -0.513